No. 1
{"formula": "NaCe4", "functional": "GGA-PBE", "state": "relaxed", "formation_enthalpy_0k_ev_per_atom": 1.00, "dos_at_fermi_per_ev_atom": 4.599, "total_magnetization_mub_per_cell": 5.63, "vol_a3_per_cell": 177.86, "total_energy_ev_per_atom": -4.01, "lattice": [[5.624, 0.000, 0.000], [0.000, 5.624, 0.000], [0.000, 0.000, 5.624]], "species": ["Na", "Ce", "Ce", "Ce", "Ce"], "fractional_positions": [[0.500, 0.500, 0.500], [0.000, 0.000, 0.000], [0.500, 0.000, 0.500], [0.000, 0.500, 0.500], [0.500, 0.500, 0.000]]}

=====

No. 2
{"formula": "Pr3Nd2SmHo6", "functional": "GGA-PBE", "state": "relaxed", "formation_enthalpy_0k_ev_per_atom": 0.01, "dos_at_fermi_per_ev_atom": 1.091, "total_magnetization_mub_per_cell": 0.00, "vol_a3_per_cell": 395.96, "total_energy_ev_per_atom": -4.66, "lattice": [[6.266, -0.001, 0.005], [-3.132, 5.427, 0.005], [-1.050, -1.818, 11.641]], "species": ["Pr", "Pr", "Pr", "Nd", "Nd", "Sm", "Ho", "Ho", "Ho", "Ho", "Ho", "Ho"], "fractional_positions": [[0.167, 0.833, 0.500], [0.833, 0.167, 0.500], [0.500, 0.500, 0.500], [0.333, 0.667, 0.000], [0.667, 0.333, 0.000], [0.000, 0.000, 0.000], [0.917, 0.584, 0.751], [0.750, 0.750, 0.249], [0.083, 0.416, 0.249], [0.584, 0.917, 0.751], [0.250, 0.250, 0.751], [0.416, 0.083, 0.249]]}

=====

No. 3
{"formula": "PaNiAs2", "functional": "GGA-PBE", "state": "relaxed", "formation_enthalpy_0k_ev_per_atom": -0.82, "dos_at_fermi_per_ev_atom": 0.339, "total_magnetization_mub_per_cell": 0.00, "vol_a3_per_cell": 145.25, "polymorph_energy_mev_per_atom": 0, "total_energy_ev_per_atom": -6.97, "lattice": [[-0.265, 1.020, 3.908], [1.334, -3.675, 1.049], [7.815, 4.299, -2.688]], "species": ["Pa", "Pa", "Ni", "Ni", "As", "As", "As", "As"], "fractional_positions": [[0.122, 0.122, 0.243], [0.878, 0.878, 0.757], [0.750, 0.250, 0.500], [0.250, 0.750, 0.500], [0.327, 0.327, 0.655], [0.673, 0.673, 0.345], [0.500, 0.000, 0.000], [0.000, 0.500, 0.000]]}

=====

No. 4
{"formula": "AsAuSF2", "functional": "GGA-PBE", "state": "relaxed", "dos_at_fermi_per_ev_atom": 0.598, "total_magnetization_mub_per_cell": 0.91, "vol_a3_per_cell": 85.25, "total_energy_ev_per_atom": -3.30, "lattice": [[3.929, 0.000, 0.000], [0.000, 5.523, 0.000], [0.000, 0.000, 3.929]], "species": ["As", "Au", "S", "F", "F"], "fractional_positions": [[0.500, 0.500, 0.500], [0.000, 0.500, 0.000], [0.000, 0.000, 0.000], [0.000, 0.000, 0.500], [0.500, 0.000, 0.000]]}

=====

Which formula does entry 4 have? AsAuSF2